V2CrW5: relaxed, GGA-PBE.

Properties
For the mass density, the calculation gives 14.84 g cm⁻³. The density of states at the Fermi level is 10.5 states/eV/cell. The value obtained for the calculated formation energy is -41 meV/atom.

Cell: 3.116 6.208 12.410 Å, 90.00 90.00 90.00°
Atoms (fractional coordinates):
W1 0.000 0.506 0.750
W2 0.500 0.760 0.622
W3 0.000 0.500 0.500
W4 0.500 0.260 0.878
W5 0.000 0.000 0.000
W6 0.500 0.740 0.122
W7 0.000 0.006 0.750
W8 0.500 0.240 0.378
W9 0.000 0.994 0.250
W10 0.000 0.494 0.250
V1 0.500 0.249 0.124
V2 0.500 0.749 0.376
V3 0.500 0.251 0.624
V4 0.500 0.751 0.876
Cr1 0.000 0.500 0.000
Cr2 0.000 0.000 0.500



VCrW6: relaxed, GGA-PBE.

Properties
For the mass density, the calculation gives 16.32 g cm⁻³. The density of states at the Fermi level is 2.9 states/eV/cell. The value obtained for the calculated formation energy is -19 meV/atom.

Cell: 4.426 5.418 5.418 Å, 109.12 90.00 90.00°
Atoms (fractional coordinates):
W1 0.500 0.500 0.000
W2 0.000 0.249 0.751
W3 0.000 0.251 0.251
W4 0.500 0.000 0.500
W5 0.000 0.749 0.749
W6 0.000 0.751 0.249
Cr1 0.500 0.500 0.500
V1 0.500 0.000 0.000



> calculated formation energy of number 2 (VCrW6)?

-19 meV/atom